1.
This record from Alexandria describes a geometry-optimized HoIn2BiTe4 structure. The functional is GGA-PBE.

Computed properties:
* total moment: 0.000 μB per atom
* ρ: 6.69 g/cm3
* calculated volume: 276.68 Å³/cell
* density of states at the Fermi level: 0.2 states/eV per cell
* raw total energy: -3.910 eV/atom

Cell lengths 7.8218, 4.4838, 8.3028 Å; angles 90.00, 108.17, 90.00 degrees
With the nearest neighbours (Å) after each atom.
Positions (direct):
Ho 0.0000 0.0000 0.0000  6 Te 3.11
In 0.0000 0.5000 0.5000  6 Te 3.35-3.36
In 0.5000 0.0000 0.5000  6 Te 3.42
Bi 0.5000 0.5000 0.0000  6 Te 3.18-3.19
Te 0.2331 0.5000 0.2220  2 Ho 3.11, 1 Bi 3.19, 3 In 3.36-3.42
Te 0.2494 0.0000 0.7725  1 Ho 3.11, 2 Bi 3.18, 3 In 3.35-3.42
Te 0.7506 0.0000 0.2275  1 Ho 3.11, 2 Bi 3.18, 3 In 3.35-3.42
Te 0.7669 0.5000 0.7780  2 Ho 3.11, 1 Bi 3.19, 3 In 3.36-3.42



2.
This record from Alexandria describes a geometry-optimized Ba4InI10 structure. The functional is GGA-PBE.

Computed properties:
* total moment: 0.000 μB per atom
* ρ: 4.53 g/cm3
* calculated volume: 708.51 Å³/cell
* density of states at the Fermi level: 5.4 states/eV per cell
* raw total energy: -3.187 eV/atom

Cell lengths 23.7198, 23.7198, 23.7198 Å; angles 14.30, 14.30, 14.30 degrees
With the nearest neighbours (Å) after each atom.
Positions (direct):
Ba 0.1035 0.1035 0.1035  8 I 3.60-3.64
Ba 0.2989 0.2989 0.2989  8 I 3.62-3.63
Ba 0.7011 0.7011 0.7011  8 I 3.62-3.63
Ba 0.8965 0.8965 0.8965  8 I 3.60-3.64
In 0.5000 0.5000 0.5000  8 I 3.27-3.51
I 0.0518 0.0518 0.0518  4 Ba 3.62-3.64
I 0.1548 0.1548 0.1548  3 In 3.51, 1 Ba 3.61, 3 I 3.80
I 0.2473 0.2473 0.2473  4 Ba 3.62-3.63
I 0.3505 0.3505 0.3505  4 Ba 3.62-3.63
I 0.4535 0.4535 0.4535  1 In 3.27, 3 Ba 3.60
I 0.5465 0.5465 0.5465  1 In 3.27, 3 Ba 3.60
I 0.6495 0.6495 0.6495  4 Ba 3.62-3.63
I 0.7527 0.7527 0.7527  4 Ba 3.62-3.63
I 0.8452 0.8452 0.8452  3 In 3.51, 1 Ba 3.61, 3 I 3.80
I 0.9482 0.9482 0.9482  4 Ba 3.62-3.64



3.
This record from Alexandria describes a geometry-optimized Ru4PtCl structure. The functional is GGA-PBE.

Computed properties:
* total moment: 0.546 μB per atom
* ρ: 10.88 g/cm3
* calculated volume: 96.86 Å³/cell
* density of states at the Fermi level: 10.8 states/eV per cell
* raw total energy: -6.462 eV/atom

Cell lengths 5.1550, 5.1550, 5.1550 Å; angles 60.00, 60.00, 60.00 degrees
With the nearest neighbours (Å) after each atom.
Positions (direct):
Ru 0.1249 0.1249 0.1249  6 Ru 2.58
Ru 0.1249 0.1249 0.6253  6 Ru 2.58
Ru 0.1249 0.6253 0.1249  6 Ru 2.58
Ru 0.6253 0.1249 0.1249  6 Ru 2.58
Pt 0.5000 0.5000 0.5000  12 Ru 3.02, 4 Cl 3.16
Cl 0.7500 0.7500 0.7500  12 Ru 3.02, 4 Pt 3.16



4.
This record from Alexandria describes a geometry-optimized Tc3Hg structure. The functional is GGA-PBE.

Computed properties:
* total moment: 0.000 μB per atom
* ΔE to the lowest computed polymorph: 0 meV per atom
* ρ: 12.77 g/cm3
* ΔH_f (0 K): 0.2965 eV per atom
* calculated volume: 64.32 Å³/cell
* density of states at the Fermi level: 4.3 states/eV per cell
* raw total energy: -7.553 eV/atom

Cell lengths 2.8461, 2.8461, 9.1683 Å; angles 90.00, 90.00, 120.00 degrees
With the nearest neighbours (Å) after each atom.
Positions (direct):
Tc 0.0000 0.0000 0.0000  12 Tc 2.65-2.85
Tc 0.3333 0.6667 0.2271  9 Tc 2.65-2.85
Tc 0.3333 0.6667 0.7729  9 Tc 2.65-2.85
Hg 0.0000 0.0000 0.5000  6 Hg 2.85, 6 Tc 2.99



5.
This record from Alexandria describes a geometry-optimized VCoCuGe structure. The functional is GGA-PBE.

Computed properties:
* total moment: 0.157 μB per atom
* ρ: 8.21 g/cm3
* ΔH_f (0 K): -0.0294 eV per atom
* calculated volume: 199.10 Å³/cell
* density of states at the Fermi level: 15.1 states/eV per cell
* raw total energy: -6.264 eV/atom

Cell lengths 5.8393, 5.8393, 5.8393 Å; angles 90.00, 90.00, 90.00 degrees
With the nearest neighbours (Å) after each atom.
Positions (direct):
V 0.0000 0.0000 0.0000  4 Co 2.53, 4 Cu 2.53
V 0.0000 0.5000 0.5000  4 Co 2.53, 4 Cu 2.53
V 0.5000 0.0000 0.5000  4 Co 2.53, 4 Cu 2.53
V 0.5000 0.5000 0.0000  4 Co 2.53, 4 Cu 2.53
Co 0.2500 0.2500 0.2500  4 Ge 2.53, 4 V 2.53
Co 0.2500 0.7500 0.7500  4 Ge 2.53, 4 V 2.53
Co 0.7500 0.2500 0.7500  4 Ge 2.53, 4 V 2.53
Co 0.7500 0.7500 0.2500  4 Ge 2.53, 4 V 2.53
Cu 0.2500 0.2500 0.7500  4 Ge 2.53, 4 V 2.53
Cu 0.2500 0.7500 0.2500  4 Ge 2.53, 4 V 2.53
Cu 0.7500 0.2500 0.2500  4 Ge 2.53, 4 V 2.53
Cu 0.7500 0.7500 0.7500  4 Ge 2.53, 4 V 2.53
Ge 0.0000 0.0000 0.5000  4 Co 2.53, 4 Cu 2.53
Ge 0.0000 0.5000 0.0000  4 Co 2.53, 4 Cu 2.53
Ge 0.5000 0.0000 0.0000  4 Co 2.53, 4 Cu 2.53
Ge 0.5000 0.5000 0.5000  4 Cu 2.53, 4 Co 2.53



6.
This record from Alexandria describes a geometry-optimized LaTcSb3 structure. The functional is GGA-PBE.

Computed properties:
* total moment: 0.025 μB per atom
* ΔE to the lowest computed polymorph: 565 meV per atom
* ρ: 7.01 g/cm3
* calculated volume: 142.64 Å³/cell
* density of states at the Fermi level: 7.3 states/eV per cell
* raw total energy: -5.523 eV/atom

Cell lengths 5.2250, 5.2250, 5.2250 Å; angles 90.00, 90.00, 90.00 degrees
With the nearest neighbours (Å) after each atom.
Positions (direct):
La 0.0000 0.0000 0.0000  12 Sb 3.69
Tc 0.5000 0.5000 0.5000  6 Sb 2.61
Sb 0.0000 0.5000 0.5000  2 Tc 2.61
Sb 0.5000 0.0000 0.5000  2 Tc 2.61
Sb 0.5000 0.5000 0.0000  2 Tc 2.61



7.
This record from Alexandria describes a geometry-optimized ZrGa3Co structure. The functional is GGA-PBE.

Computed properties:
* total moment: 0.000 μB per atom
* ΔE to the lowest computed polymorph: 314 meV per atom
* ρ: 6.77 g/cm3
* ΔH_f (0 K): -0.0427 eV per atom
* calculated volume: 88.14 Å³/cell
* density of states at the Fermi level: 3.7 states/eV per cell
* raw total energy: -4.990 eV/atom

Cell lengths 4.4504, 4.4504, 4.4504 Å; angles 90.00, 90.00, 90.00 degrees
With the nearest neighbours (Å) after each atom.
Positions (direct):
Zr 0.0000 0.0000 0.0000  12 Ga 3.15
Ga 0.0000 0.5000 0.5000  2 Co 2.23
Ga 0.5000 0.0000 0.5000  2 Co 2.23
Ga 0.5000 0.5000 0.0000  2 Co 2.23
Co 0.5000 0.5000 0.5000  6 Ga 2.23



8.
This record from Alexandria describes a geometry-optimized BaPmZn4 structure. The functional is GGA-PBE.

Computed properties:
* total moment: 0.000 μB per atom
* ρ: 6.63 g/cm3
* ΔH_f (0 K): -0.1401 eV per atom
* calculated volume: 136.24 Å³/cell
* density of states at the Fermi level: 8.1 states/eV per cell
* raw total energy: -2.102 eV/atom

Cell lengths 5.7757, 5.7757, 5.7757 Å; angles 60.00, 60.00, 60.00 degrees
With the nearest neighbours (Å) after each atom.
Positions (direct):
Ba 0.0000 0.0000 0.0000  12 Zn 3.39, 4 Pm 3.54
Pm 0.2500 0.2500 0.2500  12 Zn 3.38, 4 Ba 3.54
Zn 0.1335 0.6222 0.6222  6 Zn 2.82-2.95
Zn 0.6222 0.1335 0.6222  6 Zn 2.82-2.95
Zn 0.6222 0.6222 0.1335  6 Zn 2.82-2.95
Zn 0.6222 0.6222 0.6222  6 Zn 2.82-2.95



9.
This record from Alexandria describes a geometry-optimized RePCl2 structure. The functional is GGA-PBE.

Computed properties:
* total moment: 0.000 μB per atom
* ΔE to the lowest computed polymorph: 116 meV per atom
* ρ: 5.56 g/cm3
* calculated volume: 86.05 Å³/cell
* density of states at the Fermi level: 1.8 states/eV per cell
* raw total energy: -5.554 eV/atom

Cell lengths 3.1449, 3.1449, 8.7007 Å; angles 90.00, 90.00, 90.00 degrees
With the nearest neighbours (Å) after each atom.
Positions (direct):
Re 0.0000 0.0000 0.0000  1 Cl 2.26, 4 P 2.42
P 0.5000 0.5000 0.1087  1 Cl 2.06
Cl 0.0000 0.0000 0.7401  1 Re 2.26
Cl 0.5000 0.5000 0.3459  1 P 2.06



10.
This record from Alexandria describes a geometry-optimized CuReI3 structure. The functional is GGA-PBE.

Computed properties:
* total moment: 0.537 μB per atom
* ΔE to the lowest computed polymorph: 0 meV per atom
* ρ: 6.39 g/cm3
* calculated volume: 163.78 Å³/cell
* density of states at the Fermi level: 3.2 states/eV per cell
* raw total energy: -3.234 eV/atom

Cell lengths 5.4712, 5.4712, 5.4712 Å; angles 90.00, 90.00, 90.00 degrees
With the nearest neighbours (Å) after each atom.
Positions (direct):
Cu 0.0000 0.0000 0.0000  12 I 3.87
Re 0.5000 0.5000 0.5000  6 I 2.74
I 0.0000 0.5000 0.5000  2 Re 2.74
I 0.5000 0.0000 0.5000  2 Re 2.74
I 0.5000 0.5000 0.0000  2 Re 2.74



11.
This record from Alexandria describes a geometry-optimized Tb2Sm3Tl6 structure. The functional is GGA-PBE.

Computed properties:
* total moment: 0.000 μB per atom
* ρ: 9.74 g/cm3
* ΔH_f (0 K): -0.0817 eV per atom
* calculated volume: 340.25 Å³/cell
* density of states at the Fermi level: 9.6 states/eV per cell
* raw total energy: -3.501 eV/atom

Cell lengths 15.1139, 15.1139, 15.1139 Å; angles 161.70, 161.70, 25.99 degrees
With the nearest neighbours (Å) after each atom.
Positions (direct):
Tb 0.0538 0.0538 0.0000  4 Tl 3.07, 1 Tb 3.17
Tb 0.9462 0.9462 0.0000  4 Tl 3.07, 1 Tb 3.17
Sm 0.3005 0.3005 0.0000  9 Tl 3.12-3.40
Sm 0.5000 0.5000 0.0000  8 Tb 3.75
Sm 0.6995 0.6995 0.0000  9 Tl 3.12-3.40
Tl 0.1185 0.6185 0.5000  2 Tb 3.07, 6 Tl 3.29-3.40, 2 Sm 3.39
Tl 0.1946 0.1946 0.0000  5 Sm 3.12-3.40, 4 Tl 3.29
Tl 0.3815 0.8815 0.5000  2 Tb 3.07, 6 Tl 3.29-3.40, 2 Sm 3.39
Tl 0.6185 0.1185 0.5000  2 Tb 3.07, 6 Tl 3.29-3.40, 2 Sm 3.39
Tl 0.8054 0.8054 0.0000  5 Sm 3.12-3.40, 4 Tl 3.29
Tl 0.8815 0.3815 0.5000  2 Tb 3.07, 6 Tl 3.29-3.40, 2 Sm 3.39



12.
This record from Alexandria describes a geometry-optimized Mn2GaH structure. The functional is GGA-PBE.

Computed properties:
* total moment: 0.341 μB per atom
* ΔE to the lowest computed polymorph: 0 meV per atom
* ρ: 7.86 g/cm3
* calculated volume: 114.52 Å³/cell
* density of states at the Fermi level: 5.8 states/eV per cell
* raw total energy: -6.226 eV/atom

Cell lengths 2.6974, 2.6974, 18.1748 Å; angles 90.00, 90.00, 120.00 degrees
With the nearest neighbours (Å) after each atom.
Positions (direct):
Mn 0.0000 0.0000 0.0000  3 H 1.87
Mn 0.0000 0.0000 0.2253  3 H 1.81
Mn 0.3333 0.6667 0.6667  3 H 1.87
Mn 0.3333 0.6667 0.8920  3 H 1.81
Mn 0.6667 0.3333 0.3333  3 H 1.87
Mn 0.6667 0.3333 0.5587  3 H 1.81
Ga 0.0000 0.0000 0.7796  6 Mn 2.57-2.58, 6 Ga 2.70
Ga 0.3333 0.6667 0.4463  6 Mn 2.57-2.58, 6 Ga 2.70
Ga 0.6667 0.3333 0.1129  6 Mn 2.57-2.58, 6 Ga 2.70
H 0.0000 0.0000 0.6099  6 Mn 1.81-1.87
H 0.3333 0.6667 0.2766  6 Mn 1.81-1.87
H 0.6667 0.3333 0.9432  6 Mn 1.81-1.87